Entry 1:
4
Lattice="0.000 3.479 3.479 3.479 0.000 3.479 3.479 3.479 0.000" Properties=species:S:1:pos:R:3 comment="PBE DyZrCdIr, optimized geometry" m_tot_mub_per_atom=0.00 space_group=F-43m delta_e_f_ev_per_fu=-1.60 mass_density_kg_m3=11007 pbc="T T T"
Dy 0.000 0.000 0.000
Zr 3.479 3.479 3.479
Cd 1.740 1.740 1.740
Ir 5.219 5.219 5.219

=====

Entry 2:
7
Lattice="5.962 -2.338 0.000 5.962 2.338 0.000 -0.683 0.000 6.170" Properties=species:S:1:pos:R:3 comment="PBE Pr2Ga3Ru2, optimized geometry" m_tot_mub_per_atom=0.00 space_group=C2/m delta_e_f_ev_per_fu=-1.60 mass_density_kg_m3=6691 pbc="T T T"
Pr 1.117 0.000 1.779
Pr 10.125 0.000 4.391
Ga 1.590 0.000 4.805
Ga 5.962 0.000 0.000
Ga 9.651 0.000 1.364
Ru 3.721 0.000 0.684
Ru 7.521 0.000 5.486

=====

Entry 3:
5
Lattice="-2.400 2.400 7.169 2.400 -2.400 7.169 2.400 2.400 -7.169" Properties=species:S:1:pos:R:3 comment="PBE LiSn2Pb2, optimized geometry" m_tot_mub_per_atom=0.00 space_group=I4/mmm delta_e_f_ev_per_fu=0.45 polymorph_energy_mev_per_atom=182 mass_density_kg_m3=6625 pbc="T T T"
Li 0.000 0.000 0.000
Sn 0.000 0.000 5.729
Sn 0.000 0.000 8.608
Pb 2.400 0.000 3.584
Pb 0.000 2.400 3.584

=====

Entry 4:
10
Lattice="0.000 6.342 2.512 4.421 0.000 2.512 4.421 6.342 0.000" Properties=species:S:1:pos:R:3 comment="PBE Zn3Rh2, optimized geometry" m_tot_mub_per_atom=0.00 space_group=Fdd2 delta_e_f_ev_per_fu=-1.43 polymorph_energy_mev_per_atom=99 mass_density_kg_m3=9478 pbc="T T T"
Zn 0.000 0.000 0.000
Zn 2.211 3.171 1.256
Zn 4.888 4.984 2.764
Zn 3.954 7.699 2.764
Zn 6.165 8.155 4.020
Zn 7.099 10.870 4.020
Rh 6.251 7.015 1.650
Rh 4.040 2.497 2.906
Rh 2.592 5.668 1.650
Rh 4.802 10.186 2.906

=====

Entry 5:
21
Lattice="11.149 0.000 0.000 -5.575 9.655 0.000 0.000 0.000 4.390" Properties=species:S:1:pos:R:3 comment="PBE La2Mg12Ag7, optimized geometry" m_tot_mub_per_atom=0.00 space_group=P-6 delta_e_f_ev_per_fu=-4.35 mass_density_kg_m3=4654 pbc="T T T"
La 0.000 0.000 0.000
La 0.000 6.437 2.195
Mg -3.698 7.325 2.195
Mg -0.949 3.698 0.000
Mg 1.080 2.791 2.195
Mg -1.897 8.628 0.000
Mg 3.128 2.008 0.000
Mg 5.397 1.084 2.195
Mg 3.815 4.439 2.195
Mg 2.846 6.984 0.000
Mg 2.618 9.196 2.195
Mg 7.847 1.705 0.000
Mg 5.749 5.943 0.000
Mg 7.511 4.132 2.195
Ag -2.581 5.898 0.000
Ag 2.543 0.362 2.195
Ag 1.758 4.471 0.000
Ag 0.824 8.942 0.000
Ag 5.575 3.218 0.000
Ag 4.617 7.272 2.195
Ag 9.564 2.021 2.195

=====

Entry 6:
11
Lattice="3.610 -6.230 0.000 3.610 6.230 0.000 -2.419 0.000 7.063" Properties=species:S:1:pos:R:3 comment="PBE Na2Tb2PaSe6, optimized geometry" m_tot_mub_per_atom=0.10 e_form_raw_kj_per_mol_atoms=-154.5 space_group=C2/m mass_density_kg_m3=5586 pbc="T T T"
Na 3.610 4.131 0.000
Na 3.610 -4.131 0.000
Tb 2.400 2.070 3.531
Tb 2.400 -2.070 3.531
Pa -1.209 0.000 3.531
Se -0.026 2.065 5.132
Se 1.158 0.000 1.934
Se -0.026 -2.065 5.132
Se 4.826 2.065 1.930
Se 3.642 0.000 5.129
Se 4.826 -2.065 1.930

=====

Entry 7:
4
Lattice="1.752 1.012 11.449 -1.752 1.012 11.449 0.000 -2.023 11.449" Properties=species:S:1:pos:R:3 comment="PBE CeHoEr2, optimized geometry" m_tot_mub_per_atom=0.21 space_group=R3m delta_e_f_ev_per_fu=0.22 polymorph_energy_mev_per_atom=0 mass_density_kg_m3=8722 pbc="T T T"
Ce 0.000 0.000 0.000
Ho 0.000 0.000 28.659
Er 0.000 0.000 8.598
Er 0.000 0.000 14.349

=====

Entry 8:
10
Lattice="-4.886 4.886 3.144 4.886 -4.886 3.144 4.886 4.886 -3.144" Properties=species:S:1:pos:R:3 comment="PBE Dy5Bi4Ir, optimized geometry" m_tot_mub_per_atom=0.00 space_group=I4 delta_e_f_ev_per_fu=-7.40 mass_density_kg_m3=10179 pbc="T T T"
Dy 0.000 0.000 0.000
Dy 5.811 2.196 0.764
Dy 2.196 3.961 0.764
Dy 2.690 0.925 3.909
Dy -0.925 2.690 3.909
Bi 6.848 -0.869 0.777
Bi 2.924 0.869 0.777
Bi -0.869 2.924 0.777
Bi 0.869 6.848 0.777
Ir 0.000 0.000 3.538

=====

Entry 9:
4
Lattice="7.201 0.000 0.000 0.000 7.201 0.000 0.000 0.000 4.745" Properties=species:S:1:pos:R:3 comment="PBE RbBa2Ca, optimized geometry" m_tot_mub_per_atom=0.00 space_group=P4/mmm delta_e_f_ev_per_fu=0.60 polymorph_energy_mev_per_atom=60 mass_density_kg_m3=2701 pbc="T T T"
Rb 0.000 0.000 0.000
Ba 0.000 3.600 2.373
Ba 3.600 0.000 2.373
Ca 3.600 3.600 0.000

=====

Entry 10:
4
Lattice="1.701 -2.446 0.000 1.701 2.446 0.000 0.000 0.000 10.532" Properties=species:S:1:pos:R:3 comment="PBE BaTa2W, optimized geometry" m_tot_mub_per_atom=0.00 space_group=Cmm2 delta_e_f_ev_per_fu=3.10 polymorph_energy_mev_per_atom=178 mass_density_kg_m3=12942 pbc="T T T"
Ba 0.000 0.000 0.000
Ta 0.000 0.000 5.484
Ta 1.701 0.000 3.246
W 1.701 0.000 7.565

=====

Entry 11:
4
Lattice="1.922 -2.546 0.000 1.922 2.546 0.000 0.000 0.000 8.832" Properties=species:S:1:pos:R:3 comment="PBE BeSb2As, optimized geometry" m_tot_mub_per_atom=0.00 e_form_raw_kj_per_mol_atoms=32.1 space_group=Cmm2 polymorph_energy_mev_per_atom=176 mass_density_kg_m3=6290 pbc="T T T"
Be 0.000 0.000 0.000
Sb 0.000 0.000 4.049
Sb 1.922 0.000 6.902
As 1.922 0.000 1.171

=====

Entry 12:
10
Lattice="6.033 -2.720 0.000 6.033 2.720 0.000 -2.463 0.000 9.074" Properties=species:S:1:pos:R:3 comment="PBE Dy2Y2In, optimized geometry" m_tot_mub_per_atom=0.00 space_group=C2/m delta_e_f_ev_per_fu=-0.91 polymorph_energy_mev_per_atom=0 mass_density_kg_m3=6888 pbc="T T T"
Dy -0.562 0.000 3.095
Dy 1.730 0.000 0.476
Dy 7.872 0.000 8.598
Dy 10.164 0.000 5.979
Y 3.051 0.000 4.074
Y 5.340 0.000 1.438
Y 4.263 0.000 7.636
Y 6.552 0.000 5.000
In 1.171 0.000 6.819
In 8.432 0.000 2.255

=====

Repeat the sixth record exactly.
11
Lattice="3.610 -6.230 0.000 3.610 6.230 0.000 -2.419 0.000 7.063" Properties=species:S:1:pos:R:3 comment="PBE Na2Tb2PaSe6, optimized geometry" m_tot_mub_per_atom=0.10 e_form_raw_kj_per_mol_atoms=-154.5 space_group=C2/m mass_density_kg_m3=5586 pbc="T T T"
Na 3.610 4.131 0.000
Na 3.610 -4.131 0.000
Tb 2.400 2.070 3.531
Tb 2.400 -2.070 3.531
Pa -1.209 0.000 3.531
Se -0.026 2.065 5.132
Se 1.158 0.000 1.934
Se -0.026 -2.065 5.132
Se 4.826 2.065 1.930
Se 3.642 0.000 5.129
Se 4.826 -2.065 1.930

=====

Copy entry 6 word for word.
11
Lattice="3.610 -6.230 0.000 3.610 6.230 0.000 -2.419 0.000 7.063" Properties=species:S:1:pos:R:3 comment="PBE Na2Tb2PaSe6, optimized geometry" m_tot_mub_per_atom=0.10 e_form_raw_kj_per_mol_atoms=-154.5 space_group=C2/m mass_density_kg_m3=5586 pbc="T T T"
Na 3.610 4.131 0.000
Na 3.610 -4.131 0.000
Tb 2.400 2.070 3.531
Tb 2.400 -2.070 3.531
Pa -1.209 0.000 3.531
Se -0.026 2.065 5.132
Se 1.158 0.000 1.934
Se -0.026 -2.065 5.132
Se 4.826 2.065 1.930
Se 3.642 0.000 5.129
Se 4.826 -2.065 1.930